No. 1
Computed, not measured: an optimized crystal structure of NaBr3 at the GGA-PBE level of DFT.

The value obtained for the density of states at the Fermi level is 0.6 states/eV per cell. Its uncorrected formation energy is -1.692 eV/f.u. The space group is Cmcm, No. 63.

Cell: 4.6355 8.7076 8.7076 Å, 117.05 90.00 90.00°
Closest atoms and distances in Å follow each position.
Element x y z (fractional)
Br: 0.2500 0.3931 0.1840  1 Br 2.90, 2 Na 3.01
Br: 0.7500 0.6069 0.8160  1 Br 2.90, 2 Na 3.01
Br: 0.7500 0.1840 0.3931  1 Br 2.90, 2 Na 3.01
Br: 0.2500 0.8160 0.6069  1 Br 2.90, 2 Na 3.01
Br: 0.2500 0.7507 0.2493  2 Br 2.90, 2 Na 3.17
Br: 0.7500 0.2493 0.7507  2 Br 2.90, 2 Na 3.17
Na: 0.2500 0.3947 0.6053  6 Br 3.01-3.17
Na: 0.7500 0.6053 0.3947  6 Br 3.01-3.17


No. 2
Computed, not measured: an optimized crystal structure of BW2Cl at the GGA-PBE level of DFT.

The value obtained for the density of states at the Fermi level is 8.6 states/eV per cell. Its uncorrected formation energy is 4.731 eV/f.u. The space group is I-42d, No. 122.

Cell: 5.3536 5.3536 5.9720 Å, 63.37 63.37 90.00°
Closest atoms and distances in Å follow each position.
Element x y z (fractional)
W: 0.3750 0.4232 0.7500  2 B 2.07
W: 0.1732 0.6250 0.2500  2 B 2.07
W: 0.8750 0.8268 0.7500  2 B 2.07
W: 0.5768 0.1250 0.2500  2 B 2.07
B: 0.5000 0.5000 0.0000  4 W 2.07
B: 0.2500 0.7500 0.5000  4 W 2.07
Cl: 0.7500 0.2500 0.5000  4 W 2.38
Cl: 0.0000 0.0000 0.0000  4 W 2.38


No. 3
Computed, not measured: an optimized crystal structure of PrErRh at the GGA-PBE level of DFT.

The value obtained for the density of states at the Fermi level is 3.4 states/eV per cell. As for the formation energy: -0.50 eV/atom. The space group is F-43m, No. 216.

Cell: 4.8882 4.8882 4.8882 Å, 60.00 60.00 60.00°
Closest atoms and distances in Å follow each position.
Element x y z (fractional)
Rh: 0.2500 0.2500 0.2500  4 Pr 2.99, 4 Er 2.99
Er: 0.5000 0.5000 0.5000  4 Rh 2.99
Pr: 0.0000 0.0000 0.0000  4 Rh 2.99


No. 4
Computed, not measured: an optimized crystal structure of Hf8InS2 at the GGA-PBE level of DFT.

The value obtained for the density of states at the Fermi level is 6.7 states/eV per cell. Its uncorrected formation energy is -3.838 eV/f.u. The space group is C2/m, No. 12.

Cell: 5.1337 8.5980 8.5980 Å, 39.18 72.57 72.57°
Closest atoms and distances in Å follow each position.
Element x y z (fractional)
Hf: 0.7766 0.2239 0.2239  2 S 2.57
Hf: 0.1045 0.3946 0.3946  1 S 2.48
Hf: 0.5947 0.1547 0.6542  1 S 2.56
Hf: 0.8955 0.6054 0.6054  1 S 2.48
Hf: 0.4053 0.3458 0.8453  1 S 2.56
Hf: 0.4053 0.8453 0.3458  1 S 2.56
Hf: 0.5947 0.6542 0.1547  1 S 2.56
Hf: 0.2234 0.7761 0.7761  2 S 2.57
S: 0.7327 0.7669 0.7669  5 Hf 2.48-2.57
S: 0.2673 0.2331 0.2331  5 Hf 2.48-2.57
In: 0.0000 0.0000 0.0000  14 Hf 3.29-3.44


No. 5
Computed, not measured: an optimized crystal structure of Mn3CuAs2 at the GGA-PBE level of DFT.

The value obtained for the density of states at the Fermi level is 12.7 states/eV per cell. As for the formation energy: -0.07 eV/atom. The space group is Pnma, No. 62.

Cell: 3.5471 7.3494 12.6163 Å, 90.00 90.00 90.00°
Closest atoms and distances in Å follow each position.
Element x y z (fractional)
Mn: 0.7500 0.6800 0.6912  4 As 2.35-2.52, 2 Cu 2.59
Mn: 0.7500 0.2858 0.6516  5 As 2.52-2.63, 2 Mn 2.77
Mn: 0.2500 0.1800 0.8088  4 As 2.35-2.52, 2 Cu 2.59
Mn: 0.7500 0.4449 0.8976  5 As 2.43-2.56
Mn: 0.2500 0.9449 0.6024  5 As 2.43-2.56
Mn: 0.2500 0.3200 0.3088  4 As 2.35-2.52, 2 Cu 2.59
Mn: 0.7500 0.0551 0.3976  5 As 2.43-2.56
Mn: 0.2500 0.7858 0.8484  5 As 2.52-2.63, 2 Mn 2.77
Mn: 0.2500 0.5551 0.1024  5 As 2.43-2.56
Mn: 0.7500 0.2142 0.1516  5 As 2.52-2.63, 2 Mn 2.77
Mn: 0.7500 0.8200 0.1912  4 As 2.35-2.52, 2 Cu 2.59
Mn: 0.2500 0.7142 0.3484  5 As 2.52-2.63, 2 Mn 2.77
As: 0.2500 0.2267 0.5013  6 Mn 2.43-2.63, 3 Cu 2.51-2.53
As: 0.2500 0.0150 0.2532  6 Mn 2.35-2.56, 1 Cu 2.49
As: 0.7500 0.5150 0.2468  6 Mn 2.35-2.56, 1 Cu 2.49
As: 0.7500 0.7733 0.4987  6 Mn 2.43-2.63, 3 Cu 2.51-2.53
As: 0.2500 0.4850 0.7532  6 Mn 2.35-2.56, 1 Cu 2.49
As: 0.7500 0.7267 0.9987  6 Mn 2.43-2.63, 3 Cu 2.51-2.53
As: 0.7500 0.9850 0.7468  6 Mn 2.35-2.56, 1 Cu 2.49
As: 0.2500 0.2733 0.0013  6 Mn 2.43-2.63, 3 Cu 2.51-2.53
Cu: 0.7500 0.4444 0.4401  2 Cu 2.47, 4 As 2.49-2.53, 2 Mn 2.59
Cu: 0.2500 0.5556 0.5599  2 Cu 2.47, 4 As 2.49-2.53, 2 Mn 2.59
Cu: 0.7500 0.0556 0.9401  2 Cu 2.47, 4 As 2.49-2.53, 2 Mn 2.59
Cu: 0.2500 0.9444 0.0599  2 Cu 2.47, 4 As 2.49-2.53, 2 Mn 2.59


No. 6
Computed, not measured: an optimized crystal structure of MgTlTe2 at the GGA-PBE level of DFT.

The value obtained for the density of states at the Fermi level is 1.1 states/eV per cell. Its uncorrected formation energy is -1.209 eV/f.u. The space group is Pmmm, No. 47.

Cell: 4.0055 3.3855 8.6753 Å, 90.00 90.00 90.00°
Closest atoms and distances in Å follow each position.
Element x y z (fractional)
Te: 0.0000 0.0000 0.9609  4 Mg 3.20, 2 Te 3.39
Te: 0.0000 0.0000 0.5391  4 Mg 3.20, 2 Te 3.39
Tl: 0.5000 0.5000 0.2500  2 Tl 3.39, 8 Te 3.63
Mg: 0.5000 0.5000 0.7500  8 Te 3.20, 2 Mg 3.39


No. 7
Computed, not measured: an optimized crystal structure of PrSn2O6 at the GGA-PBE level of DFT.

The value obtained for the density of states at the Fermi level is 6.8 states/eV per cell. Its uncorrected formation energy is -16.383 eV/f.u. The space group is Pmn2_1, No. 31.

Cell: 5.5308 5.9720 8.0428 Å, 90.00 90.00 90.00°
Closest atoms and distances in Å follow each position.
Element x y z (fractional)
Pr: 0.0174 0.6682 0.0000  6 O 2.38-2.61
Pr: 0.5174 0.3318 0.5000  6 O 2.38-2.61
O: 0.6835 0.0697 0.3014  2 Sn 2.03-2.04
O: 0.6835 0.0697 0.6986  2 Sn 2.03-2.04
O: 0.9509 0.2741 0.0000  2 Sn 2.06
O: 0.6009 0.7662 0.0000  2 Sn 2.08
O: 0.7808 0.5247 0.2726  2 Sn 2.16-2.22
O: 0.2808 0.4753 0.2274  2 Sn 2.16-2.22
O: 0.2808 0.4753 0.7726  2 Sn 2.16-2.22
O: 0.1835 0.9303 0.8014  2 Sn 2.03-2.04
O: 0.1009 0.2338 0.5000  2 Sn 2.08
O: 0.1835 0.9303 0.1986  2 Sn 2.03-2.04
O: 0.7808 0.5247 0.7274  2 Sn 2.16-2.22
O: 0.4509 0.7259 0.5000  2 Sn 2.06
Sn: 0.5062 0.7806 0.7496  6 O 2.03-2.22
Sn: 0.0062 0.2194 0.2496  6 O 2.03-2.22
Sn: 0.0062 0.2194 0.7504  6 O 2.03-2.22
Sn: 0.5062 0.7806 0.2504  6 O 2.03-2.22


No. 8
Computed, not measured: an optimized crystal structure of Ce2CoNi at the GGA-PBE level of DFT.

The value obtained for the density of states at the Fermi level is 3.0 states/eV per cell. As for the formation energy: -0.18 eV/atom. The space group is R-3m, No. 166.

Cell: 3.8839 3.8839 6.7612 Å, 73.31 73.31 60.00°
Closest atoms and distances in Å follow each position.
Element x y z (fractional)
Ni: 0.0000 0.0000 0.0000  6 Ce 2.79
Co: 0.5000 0.5000 0.5000  6 Ce 2.71
Ce: 0.2466 0.2466 0.2601  3 Co 2.71, 3 Ni 2.79
Ce: 0.7534 0.7534 0.7399  3 Co 2.71, 3 Ni 2.79


No. 9
Computed, not measured: an optimized crystal structure of Mg2SnPd7 at the GGA-PBE level of DFT.

The value obtained for the density of states at the Fermi level is 7.3 states/eV per cell. As for the formation energy: 0.00 eV/atom. The space group is Cmmm, No. 65.

Cell: 4.2000 7.6477 7.6477 Å, 122.69 90.00 90.00°
Closest atoms and distances in Å follow each position.
Element x y z (fractional)
Pd: 0.5000 0.2892 0.0816  1 Mg 2.62, 5 Pd 2.70-2.79, 2 Sn 2.86
Pd: 0.0000 0.1954 0.8046  2 Mg 2.55, 1 Sn 2.62, 4 Pd 2.79
Pd: 0.5000 0.0816 0.2892  1 Mg 2.62, 5 Pd 2.70-2.79, 2 Sn 2.86
Pd: 0.5000 0.5000 0.5000  2 Mg 2.64, 4 Pd 2.70
Pd: 0.0000 0.8046 0.1954  2 Mg 2.55, 1 Sn 2.62, 4 Pd 2.79
Pd: 0.5000 0.9184 0.7108  1 Mg 2.62, 5 Pd 2.70-2.79, 2 Sn 2.86
Pd: 0.5000 0.7108 0.9184  1 Mg 2.62, 5 Pd 2.70-2.79, 2 Sn 2.86
Mg: 0.5000 0.3032 0.6968  5 Pd 2.55-2.64
Mg: 0.5000 0.6968 0.3032  5 Pd 2.55-2.64
Sn: 0.0000 0.0000 0.0000  10 Pd 2.62-2.86


No. 10
Computed, not measured: an optimized crystal structure of Bi2Sb at the GGA-PBE level of DFT.

The value obtained for the density of states at the Fermi level is 1.5 states/eV per cell. Its uncorrected formation energy is 0.456 eV/f.u. The space group is C2/m, No. 12.

Cell: 3.9738 3.9738 6.3961 Å, 107.99 107.99 90.05°
Closest atoms and distances in Å follow each position.
Element x y z (fractional)
Bi: 0.8551 0.8551 0.6915  4 Sb 3.28-3.36, 5 Bi 3.48-3.66
Bi: 0.1449 0.1449 0.3085  4 Sb 3.28-3.36, 5 Bi 3.48-3.66
Sb: 0.5000 0.5000 0.0000  8 Bi 3.28-3.36


No. 11
Computed, not measured: an optimized crystal structure of SrLi2LaTl at the GGA-PBE level of DFT.

The value obtained for the density of states at the Fermi level is 4.4 states/eV per cell. As for the formation energy: 0.49 eV/atom. The space group is P4/mmm, No. 123.

Cell: 5.2730 6.0568 5.2730 Å, 90.00 90.00 90.00°
Closest atoms and distances in Å follow each position.
Element x y z (fractional)
Li: 0.0000 0.0000 0.5000  2 Sr 2.64
Li: 0.5000 0.0000 0.0000  2 Sr 2.64
La: 0.5000 0.5000 0.5000  4 Tl 3.73, 8 Li 4.02
Tl: 0.0000 0.5000 0.0000  2 Sr 3.03
Sr: 0.0000 0.0000 0.0000  4 Li 2.64


No. 12
Computed, not measured: an optimized crystal structure of TaAgSnSe2 at the GGA-PBE level of DFT.

The value obtained for the density of states at the Fermi level is 4.0 states/eV per cell. Its uncorrected formation energy is 5.413 eV/f.u. The space group is P4/mmm, No. 123.

Cell: 5.0151 5.2118 5.0151 Å, 90.00 90.00 90.00°
Closest atoms and distances in Å follow each position.
Element x y z (fractional)
Se: 0.0000 0.0000 0.5000  2 Ag 2.51
Se: 0.5000 0.0000 0.0000  2 Ag 2.51
Ta: 0.0000 0.5000 0.0000  2 Ag 2.61
Ag: 0.0000 0.0000 0.0000  4 Se 2.51, 2 Ta 2.61
Sn: 0.5000 0.5000 0.5000  4 Ta 3.55, 8 Se 3.62